[1]
# Sm3BiOs

Sm3BiOs after structural relaxation (PBE, Alexandria via LeMat-Bulk).

Computed properties:
E_form   -344 meV per atom

Lattice parameters (Å, degrees): 15.286 5.029 8.893 90.00 119.50 90.00
Space group C2/m (No. 12)
One atom of each set of equivalent atoms:
Sm 0.071 0.000 0.214 (multiplicity 4)
Sm 0.101 0.500 0.817 (multiplicity 4)
Sm 0.245 0.000 0.759 (multiplicity 4)
Bi 0.139 0.500 0.485 (multiplicity 4)
Os 0.166 0.000 0.002 (multiplicity 4)

=====

[2]
# Sm4BiOs

Sm4BiOs after structural relaxation (PBE, Alexandria via LeMat-Bulk).

Computed properties:
E_form   -415 meV per atom

Lattice parameters (Å, degrees): 9.096 13.778 6.310 90.00 112.86 90.00
Space group C2/c (No. 15)
One atom of each set of equivalent atoms:
Sm 0.109 0.168 0.065 (multiplicity 8)
Sm 0.223 0.430 0.354 (multiplicity 8)
Bi 0.000 0.373 0.750 (multiplicity 4)
Os 0.000 0.000 0.250 (multiplicity 4)

=====

[3]
# Sn2BiOs

Sn2BiOs after structural relaxation (PBE, Alexandria via LeMat-Bulk).

Computed properties:
E_form   664 meV per atom

Lattice parameters (Å, degrees): 6.410 6.410 12.940 90.00 90.00 90.00
Space group I-42d (No. 122)
One atom of each set of equivalent atoms:
Sn 0.187 0.250 0.125 (multiplicity 8)
Bi 0.000 0.000 0.500 (multiplicity 4)
Os 0.000 0.000 0.000 (multiplicity 4)

=====

[4]
# SnBiOs3

SnBiOs3 after structural relaxation (PBE, Alexandria via LeMat-Bulk).

Computed properties:
E_form   2310 meV per atom

Lattice parameters (Å, degrees): 4.880 4.880 4.880 90.00 90.00 90.00
Space group Pm-3m (No. 221)
One atom of each set of equivalent atoms:
Sn 0.000 0.000 0.000 (multiplicity 1)
Bi 0.500 0.500 0.500 (multiplicity 1)
Os 0.000 0.000 0.500 (multiplicity 3)

=====

[5]
# Sn3BiOs

Sn3BiOs after structural relaxation (PBE, Alexandria via LeMat-Bulk).

Computed properties:
E_form   1954 meV per atom

Lattice parameters (Å, degrees): 5.768 5.768 5.768 90.00 90.00 90.00
Space group Pm-3m (No. 221)
One atom of each set of equivalent atoms:
Sn 0.000 0.000 0.500 (multiplicity 3)
Bi 0.000 0.000 0.000 (multiplicity 1)
Os 0.500 0.500 0.500 (multiplicity 1)

=====

[6]
# SnBi2Os

SnBi2Os after structural relaxation (PBE, Alexandria via LeMat-Bulk).

Computed properties:
E_form   921 meV per atom

Lattice parameters (Å, degrees): 3.2193 3.2193 34.7954 90.00 90.00 120.00
Space group R-3m (No. 166, hexagonal axes)
One atom of each set of equivalent atoms:
Sn 0.0000 0.0000 0.0000 (multiplicity 3)
Bi 0.0000 0.0000 0.4228 (multiplicity 6)
Os 0.0000 0.0000 0.5000 (multiplicity 3)

=====

[7]
# Sn3BiOs

Sn3BiOs after structural relaxation (PBE, Alexandria via LeMat-Bulk).

Computed properties:
E_form   270 meV per atom

Lattice parameters (Å, degrees): 5.197 5.197 5.197 90.00 90.00 90.00
Space group Pm-3m (No. 221)
One atom of each set of equivalent atoms:
Sn 0.000 0.000 0.500 (multiplicity 3)
Bi 0.500 0.500 0.500 (multiplicity 1)
Os 0.000 0.000 0.000 (multiplicity 1)

=====

[8]
# SnBi2Os

SnBi2Os after structural relaxation (PBE, Alexandria via LeMat-Bulk).

Computed properties:
E_form   778 meV per atom

Lattice parameters (Å, degrees): 6.627 6.627 12.821 90.00 90.00 90.00
Space group I-42d (No. 122)
One atom of each set of equivalent atoms:
Sn 0.000 0.000 0.000 (multiplicity 4)
Bi 0.196 0.250 0.625 (multiplicity 8)
Os 0.000 0.000 0.500 (multiplicity 4)

=====

no.,size of the total moment (μB per formula unit),total energy (eV/cell)
1,0.00,-123.950
2,0.00,-145.907
3,0.00,-81.838
4,0.70,-30.024
5,2.55,-17.351
6,0.40,-57.929
7,0.00,-25.770
8,0.00,-79.523